The following is a PBE calculation of HfNiTe2I after structural relaxation, from the Alexandria database.

Lattice parameters (Å, degrees): 5.567 5.567 5.651 90.00 90.00 90.00
Fractional positions:
Hf1 0.000 0.000 0.000
Ni1 0.500 0.500 0.500
Te1 0.000 0.500 0.000
Te2 0.500 0.000 0.000
I1 0.000 0.000 0.500

Computed properties:
Mass density in g/cm³: 5.87
Space group: P4/mmm, No. 123
ΔE_f (raw) in eV/atom: 0.448